[1]
# Hf2Si7Ni12 PBE relaxed
# Calculated volume (Å³ per atom): 12.45
# Final energy (Ry per atom): -0.49214
# E_form (uncorrected) (eV/atom): -0.637
# DOS(E_F) (states/eV/f.u.): 10.00
data_Hf2Si7Ni12
_chemical_formula_sum 'Hf2 Si7 Ni12'
_space_group_name_H-M_alt 'P -3'
_space_group_IT_number 147
_space_group_name_Hall '-P 3'
_cell_length_a 9.2466
_cell_length_b 9.2466
_cell_length_c 3.5302
_cell_angle_alpha 90.00
_cell_angle_beta 90.00
_cell_angle_gamma 120.00
loop_
_atom_site_label
_atom_site_fract_x
_atom_site_fract_y
_atom_site_fract_z
_atom_site_occupancy
Hf1 0.3333 0.6667 0.2476 1
Si1 0.0000 0.0000 0.5000 1
Si2 0.1200 0.4099 0.7492 1
Ni1 0.0584 0.6187 0.7516 1
Ni2 0.1139 0.8517 0.2505 1

---

[2]
# MgTePd PBE relaxed
# Calculated volume (Å³ per atom): 22.49
# Final energy (Ry per atom): -0.28475
# E_form (uncorrected) (eV/atom): -0.564
# DOS(E_F) (states/eV/f.u.): 0.00
data_MgTePd
_chemical_formula_sum 'Mg4 Te4 Pd4'
_space_group_name_H-M_alt 'C 1 c 1'
_space_group_IT_number 9
_space_group_name_Hall 'C -2yc'
_cell_length_a 6.859
_cell_length_b 6.713
_cell_length_c 5.863
_cell_angle_alpha 90.00
_cell_angle_beta 91.51
_cell_angle_gamma 90.00
loop_
_atom_site_label
_atom_site_fract_x
_atom_site_fract_y
_atom_site_fract_z
_atom_site_occupancy
Mg1 0.000 0.210 0.000 1
Te1 0.421 0.198 0.001 1
Pd1 0.238 0.500 0.238 1

---

[3]
# NdTlI PBE relaxed
# Calculated volume (Å³ per atom): 38.36
# Final energy (Ry per atom): -0.27302
# E_form (uncorrected) (eV/atom): -0.820
# DOS(E_F) (states/eV/f.u.): 0.01
data_NdTlI
_chemical_formula_sum 'Nd6 Tl6 I6'
_space_group_name_H-M_alt 'R -3 m'
_space_group_IT_number 166
_space_group_name_Hall '-R 3 2"'
_cell_length_a 4.7033
_cell_length_b 4.7033
_cell_length_c 36.0425
_cell_angle_alpha 90.00
_cell_angle_beta 90.00
_cell_angle_gamma 120.00
loop_
_atom_site_label
_atom_site_fract_x
_atom_site_fract_y
_atom_site_fract_z
_atom_site_occupancy
Nd1 0.0000 0.0000 0.0605 1
Tl1 0.0000 0.0000 0.3497 1
I1 0.0000 0.0000 0.2205 1

---

[4]
# Dy3ErMg12 PBE relaxed
# Calculated volume (Å³ per atom): 25.30
# Final energy (Ry per atom): -0.17645
# DOS(E_F) (states/eV/f.u.): 12.71
data_Dy3ErMg12
_chemical_formula_sum 'Dy3 Er1 Mg12'
_space_group_name_H-M_alt 'P 4/m m m'
_space_group_IT_number 123
_space_group_name_Hall '-P 4 2'
_cell_length_a 4.620
_cell_length_b 4.620
_cell_length_c 18.961
_cell_angle_alpha 90.00
_cell_angle_beta 90.00
_cell_angle_gamma 90.00
loop_
_atom_site_label
_atom_site_fract_x
_atom_site_fract_y
_atom_site_fract_z
_atom_site_occupancy
Dy1 0.000 0.000 0.000 1
Dy2 0.000 0.000 0.251 1
Er1 0.000 0.000 0.500 1
Mg1 0.000 0.500 0.125 1
Mg2 0.000 0.500 0.376 1
Mg3 0.500 0.500 0.000 1
Mg4 0.500 0.500 0.251 1
Mg5 0.500 0.500 0.500 1

---

[5]
# Zr2NO PBE relaxed
# Calculated volume (Å³ per atom): 12.42
# Final energy (Ry per atom): -0.70643
# E_form (uncorrected) (eV/atom): -2.016
# DOS(E_F) (states/eV/f.u.): 1.35
# ΔE to the lowest computed polymorph (meV/atom): 0.0
data_Zr2NO
_chemical_formula_sum 'Zr16 N8 O8'
_space_group_name_H-M_alt 'C 1 2/c 1'
_space_group_IT_number 15
_space_group_name_Hall '-C 2yc'
_cell_length_a 6.559
_cell_length_b 13.066
_cell_length_c 5.642
_cell_angle_alpha 90.00
_cell_angle_beta 124.71
_cell_angle_gamma 90.00
loop_
_atom_site_label
_atom_site_fract_x
_atom_site_fract_y
_atom_site_fract_z
_atom_site_occupancy
Zr1 0.222 0.063 0.233 1
Zr2 0.243 0.188 0.734 1
N1 0.000 0.066 0.750 1
N2 0.000 0.191 0.250 1
O1 0.000 0.316 0.750 1
O2 0.000 0.442 0.250 1

---

[6]
# LaPa5Se6 PBE relaxed
# Calculated volume (Å³ per atom): 24.44
# Final energy (Ry per atom): -0.54535
# E_form (uncorrected) (eV/atom): -1.310
# DOS(E_F) (states/eV/f.u.): 21.37
data_LaPa5Se6
_chemical_formula_sum 'La2 Pa10 Se12'
_space_group_name_H-M_alt 'C 1 2/m 1'
_space_group_IT_number 12
_space_group_name_Hall '-C 2y'
_cell_length_a 6.906
_cell_length_b 12.119
_cell_length_c 7.396
_cell_angle_alpha 90.00
_cell_angle_beta 108.62
_cell_angle_gamma 90.00
loop_
_atom_site_label
_atom_site_fract_x
_atom_site_fract_y
_atom_site_fract_z
_atom_site_occupancy
La1 0.000 0.000 0.000 1
Pa1 0.000 0.160 0.500 1
Pa2 0.000 0.332 0.000 1
Pa3 0.000 0.500 0.500 1
Se1 0.240 0.500 0.248 1
Se2 0.243 0.329 0.744 1

---

Please write out number 6 again, unchanged.
# LaPa5Se6 PBE relaxed
# Calculated volume (Å³ per atom): 24.44
# Final energy (Ry per atom): -0.54535
# E_form (uncorrected) (eV/atom): -1.310
# DOS(E_F) (states/eV/f.u.): 21.37
data_LaPa5Se6
_chemical_formula_sum 'La2 Pa10 Se12'
_space_group_name_H-M_alt 'C 1 2/m 1'
_space_group_IT_number 12
_space_group_name_Hall '-C 2y'
_cell_length_a 6.906
_cell_length_b 12.119
_cell_length_c 7.396
_cell_angle_alpha 90.00
_cell_angle_beta 108.62
_cell_angle_gamma 90.00
loop_
_atom_site_label
_atom_site_fract_x
_atom_site_fract_y
_atom_site_fract_z
_atom_site_occupancy
La1 0.000 0.000 0.000 1
Pa1 0.000 0.160 0.500 1
Pa2 0.000 0.332 0.000 1
Pa3 0.000 0.500 0.500 1
Se1 0.240 0.500 0.248 1
Se2 0.243 0.329 0.744 1

---

What is the final energy in the first record? -0.49214 Ry per atom

---

Please write out number 4 again, unchanged.
# Dy3ErMg12 PBE relaxed
# Calculated volume (Å³ per atom): 25.30
# Final energy (Ry per atom): -0.17645
# DOS(E_F) (states/eV/f.u.): 12.71
data_Dy3ErMg12
_chemical_formula_sum 'Dy3 Er1 Mg12'
_space_group_name_H-M_alt 'P 4/m m m'
_space_group_IT_number 123
_space_group_name_Hall '-P 4 2'
_cell_length_a 4.620
_cell_length_b 4.620
_cell_length_c 18.961
_cell_angle_alpha 90.00
_cell_angle_beta 90.00
_cell_angle_gamma 90.00
loop_
_atom_site_label
_atom_site_fract_x
_atom_site_fract_y
_atom_site_fract_z
_atom_site_occupancy
Dy1 0.000 0.000 0.000 1
Dy2 0.000 0.000 0.251 1
Er1 0.000 0.000 0.500 1
Mg1 0.000 0.500 0.125 1
Mg2 0.000 0.500 0.376 1
Mg3 0.500 0.500 0.000 1
Mg4 0.500 0.500 0.251 1
Mg5 0.500 0.500 0.500 1